1.
Material: LaAgMoPt
Method: DFT, PBE
State: optimized geometry

Formation energy in eV/atom: -0.1099
SG: R3m (160)
ΔE to the lowest computed polymorph in eV/atom: 0.000
Total magnetic moment in μB per cell: 0.00
Total DFT energy (no corrections) in eV per atom: -6.273

abc: 4.5079 4.5079 15.4682
angles: 90.00 90.00 120.00
Last column: nearest neighbours and their distance in Å.
Sites, in units of the cell vectors:
La  0.0000  0.0000  0.0000  4 Pt 3.07-3.33, 4 Ag 3.21-3.27, 3 Mo 3.31
La  0.3333  0.6667  0.6667  4 Pt 3.07-3.33, 4 Ag 3.21-3.27, 3 Mo 3.31
La  0.6667  0.3333  0.3333  4 Pt 3.07-3.33, 4 Ag 3.21-3.27, 3 Mo 3.31
Ag  0.0000  0.0000  0.7885  3 Pt 2.86, 3 Mo 2.88
Ag  0.3333  0.6667  0.4551  3 Pt 2.86, 3 Mo 2.88
Ag  0.6667  0.3333  0.1218  3 Pt 2.86, 3 Mo 2.88
Mo  0.0000  0.0000  0.5346  3 Pt 2.60, 3 Ag 2.88
Mo  0.3333  0.6667  0.2013  3 Pt 2.60, 3 Ag 2.88
Mo  0.6667  0.3333  0.8680  3 Pt 2.60, 3 Ag 2.88
Pt  0.0000  0.0000  0.1988  3 Mo 2.60, 3 Ag 2.86
Pt  0.3333  0.6667  0.8654  3 Mo 2.60, 3 Ag 2.86
Pt  0.6667  0.3333  0.5321  3 Mo 2.60, 3 Ag 2.86

---

2.
Material: CaNd2S3
Method: DFT, PBE
State: optimized geometry

Uncorrected formation energy in eV/atom: -2.050
SG: C2/m (12)
ΔE to the lowest computed polymorph in eV/atom: 0.000
Total magnetic moment in μB per cell: 0.00
Total DFT energy (no corrections) in eV per atom: -6.036

abc: 12.9019 5.7310 4.0246
angles: 90.00 108.11 90.00
Last column: nearest neighbours and their distance in Å.
Sites, in units of the cell vectors:
Ca  0.0000  0.0000  0.0000  6 S 2.82-2.87
Ca  0.5000  0.5000  0.0000  6 S 2.82-2.87
Nd  0.1670  0.5000  0.6681  6 S 2.87-2.91
Nd  0.3330  0.0000  0.3319  6 S 2.87-2.91
Nd  0.6670  0.0000  0.6681  6 S 2.87-2.91
Nd  0.8330  0.5000  0.3319  6 S 2.87-2.91
S  0.0000  0.5000  0.0000  2 Ca 2.87, 4 Nd 2.87-2.88
S  0.1615  0.0000  0.6607  2 Ca 2.82, 4 Nd 2.87-2.91
S  0.3385  0.5000  0.3393  2 Ca 2.82, 4 Nd 2.87-2.91
S  0.5000  0.0000  0.0000  2 Ca 2.87, 4 Nd 2.87-2.88
S  0.6615  0.5000  0.6607  2 Ca 2.82, 4 Nd 2.87-2.91
S  0.8385  0.0000  0.3393  2 Ca 2.82, 4 Nd 2.87-2.91

---

Question: What is the total magnetic moment in the first record?
Answer: 0.00 μB per cell